A plane-wave DFT calculation with PBE was carried out for crystalline BeBiPS2 at its relaxed geometry.

The structure in POSCAR format:
```
BeBiPS2
1.0
-2.731 -3.304 1.335
0.543 -2.048 -3.958
3.460 -2.207 1.616
Be S P Bi
1 2 1 1
Cartesian
0.000 0.000 0.000 Be
-1.365 -1.652 0.667 S
0.272 -1.024 -1.979 S
1.730 -1.103 0.808 P
0.636 -3.779 -0.503 Bi
```

Summary:
The density of states at the Fermi level comes out at 3.83 states/eV/f.u. For the formation energy (no corrections), the calculation gives 229 meV per atom. The polymorph energy (0 for the lowest one) comes out at 0.00 eV/f.u.